# Nd6Ru2SBr3, relaxed, DFT PBE
data_Nd6Ru2SBr3
_space_group_name_H-M_alt 'C 1 2/m 1'
_space_group_IT_number 12
_cell_length_a 7.187
_cell_length_b 12.445
_cell_length_c 8.073
_cell_angle_alpha 90.00
_cell_angle_beta 107.22
_cell_angle_gamma 90.00
loop_
_space_group_symop_operation_xyz
'x,y,z'
'-x,-y,-z'
'-x,y,-z'
'x,-y,z'
'x+1/2,y+1/2,z'
'-x+1/2,-y+1/2,-z'
'-x+1/2,y+1/2,-z'
'x+1/2,-y+1/2,z'
loop_
_atom_site_label
_atom_site_type_symbol
_atom_site_fract_x
_atom_site_fract_y
_atom_site_fract_z
Nd1 Nd 0.218 0.000 0.197
Nd2 Nd 0.239 0.326 0.198
Ru1 Ru 0.000 0.167 0.000
S1 S 0.000 0.500 0.000
Br1 Br 0.000 0.000 0.500
Br2 Br 0.000 0.335 0.500
# * N(E_F): 18.5 states/eV per cell
# * V: 689.6 Å³/cell
# * formation energy (no corrections): -24.91 kcal/mol of atoms
# * total magnetization: 0.00 μB/f.u.
# * E: -5.7722 eV/atom

***

# Ac2NiI, relaxed, DFT PBE
data_Ac2NiI
_space_group_name_H-M_alt 'R 3 m'
_space_group_IT_number 160
_space_group_name_Hall 'R 3 -2"'
_cell_length_a 4.3545
_cell_length_b 4.3545
_cell_length_c 25.9024
_cell_angle_alpha 90.00
_cell_angle_beta 90.00
_cell_angle_gamma 120.00
loop_
_atom_site_label
_atom_site_type_symbol
_atom_site_fract_x
_atom_site_fract_y
_atom_site_fract_z
Ac1 Ac 0.0000 0.0000 0.0000
Ac2 Ac 0.0000 0.0000 0.2123
Ni1 Ni 0.0000 0.0000 0.6066
I1 I 0.0000 0.0000 0.4387
# * N(E_F): 9.2 states/eV per cell
# * V: 425.4 Å³/cell
# * formation energy (no corrections): -16.43 kcal/mol of atoms
# * distance to the lowest polymorph of the same formula: 4.9 meV/atom
# * total magnetization: 0.00 μB/f.u.
# * E: -4.5996 eV/atom

***

# NaPmYHg, relaxed, DFT PBE
data_NaPmYHg
_space_group_name_H-M_alt 'F -4 3 m'
_space_group_IT_number 216
_space_group_name_Hall 'F -4 2 3'
_cell_length_a 7.658
_cell_length_b 7.658
_cell_length_c 7.658
_cell_angle_alpha 90.00
_cell_angle_beta 90.00
_cell_angle_gamma 90.00
loop_
_atom_site_label
_atom_site_type_symbol
_atom_site_fract_x
_atom_site_fract_y
_atom_site_fract_z
Na1 Na 0.000 0.000 0.000
Pm1 Pm 0.250 0.250 0.250
Y1 Y 0.250 0.250 0.750
Hg1 Hg 0.000 0.000 0.500
# * N(E_F): 19.5 states/eV per cell
# * V: 449.1 Å³/cell
# * total magnetization: 0.82 μB/f.u.
# * E: -3.2820 eV/atom
# * formation energy: -7 kJ/mol of atoms

***

# ZnNiH, relaxed, DFT PBE
data_ZnNiH
_space_group_name_H-M_alt 'I 4 m m'
_space_group_IT_number 107
_space_group_name_Hall 'I 4 -2'
_cell_length_a 2.817
_cell_length_b 2.817
_cell_length_c 8.038
_cell_angle_alpha 90.00
_cell_angle_beta 90.00
_cell_angle_gamma 90.00
loop_
_atom_site_label
_atom_site_type_symbol
_atom_site_fract_x
_atom_site_fract_y
_atom_site_fract_z
Zn1 Zn 0.000 0.000 0.000
Ni1 Ni 0.000 0.000 0.690
H1 H 0.000 0.000 0.494
# * N(E_F): 3.3 states/eV per cell
# * V: 63.8 Å³/cell
# * total magnetization: 0.00 μB/f.u.
# * E: -3.1300 eV/atom

***

> Among the records above, which one has the highest V?

Nd6Ru2SBr3